[1]
Here is a relaxed BaLaInGa crystal from Alexandria. Energies are from PBE.

Summary:
ΔH_f (0 K): -335 meV/atom

Lattice parameters (Å, degrees): 5.6942 5.6942 5.6942 60.00 60.00 60.00
Positions (direct):
In 0.2500 0.2500 0.2500
Ba 0.5000 0.5000 0.5000
Ga 0.7500 0.7500 0.7500
La 0.0000 0.0000 0.0000


[2]
Here is a relaxed Mg2InAg crystal from Alexandria. Energies are from PBE.

Summary:
ΔH_f (0 K): -133 meV/atom

Lattice parameters (Å, degrees): 4.9444 3.2906 5.1045 89.99 90.00 90.00
Positions (direct):
Mg 0.0000 0.1244 0.9349
Mg 0.5000 0.1247 0.3195
Ag 0.0000 0.6261 0.4341
In 0.5000 0.6248 0.8116


[3]
Here is a relaxed TmSc2Pa crystal from Alexandria. Energies are from PBE.

Summary:
ΔH_f (0 K): 65 meV/atom
offset from the most stable computed form: 0 meV/atom

Lattice parameters (Å, degrees): 3.2771 3.2771 11.1338 81.54 81.54 60.00
Positions (direct):
Tm 0.6662 0.6662 0.0013
Sc 0.0857 0.0857 0.7429
Sc 0.2478 0.2478 0.2566
Pa 0.5003 0.5003 0.4991


[4]
Here is a relaxed LaTlPb2 crystal from Alexandria. Energies are from PBE.

Summary:
ΔH_f (0 K): -233 meV/atom

Lattice parameters (Å, degrees): 4.1439 4.1439 7.1856 90.00 90.00 90.00
Positions (direct):
La 0.5000 0.5000 0.7491
Pb 0.0000 0.0000 0.0191
Pb 0.5000 0.5000 0.2480
Tl 0.0000 0.0000 0.4837


[5]
Here is a relaxed NaSmEuAl crystal from Alexandria. Energies are from PBE.

Summary:
ΔH_f (0 K): -12 meV/atom

Lattice parameters (Å, degrees): 5.4847 5.4847 5.4847 60.00 60.00 60.00
Each line ends with the local moment (μB).
Positions (direct):
Eu 0.7500 0.7500 0.7500  6.88
Na 0.0000 0.0000 0.0000  0.01
Al 0.5000 0.5000 0.5000  -0.02
Sm 0.2500 0.2500 0.2500  0.10


[6]
Here is a relaxed CdOs3O crystal from Alexandria. Energies are from PBE.

Summary:
formation energy from raw total energies: 0.997 eV/atom
offset from the most stable computed form: 0 meV/atom

Lattice parameters (Å, degrees): 4.1555 4.1555 4.1555 90.00 90.00 90.00
Positions (direct):
Os 0.0000 0.5000 0.0000
Os 0.0000 0.0000 0.5000
Os 0.5000 0.0000 0.0000
O 0.0000 0.0000 0.0000
Cd 0.5000 0.5000 0.5000


[7]
Here is a relaxed Lu2CuSi crystal from Alexandria. Energies are from PBE.

Summary:
formation energy from raw total energies: 0.249 eV/atom

Lattice parameters (Å, degrees): 3.3937 3.3937 9.7282 79.95 79.95 60.00
Positions (direct):
Si 0.5000 0.5000 0.5000
Lu 0.0969 0.0969 0.7092
Lu 0.9031 0.9031 0.2908
Cu 0.0000 0.0000 0.0000


[8]
Here is a relaxed PaFeCo2H6 crystal from Alexandria. Energies are from PBE.

Summary:
electronic total energy: -54.332 eV per cell

Lattice parameters (Å, degrees): 4.3528 4.3528 5.1801 65.16 65.16 60.00
Each line ends with the local moment (μB).
Positions (direct):
Pa 0.0000 0.0000 0.0000  -0.08
Fe 0.5000 0.5000 0.5000  1.45
Co 0.7993 0.7993 0.6021  0.29
Co 0.2007 0.2007 0.3979  0.29
H 0.1022 0.5574 0.7830  -0.01
H 0.5574 0.1022 0.7830  -0.01
H 0.4426 0.4426 0.2170  -0.01
H 0.8978 0.4426 0.2170  -0.01
H 0.4426 0.8978 0.2170  -0.01
H 0.5574 0.5574 0.7830  -0.01


[9]
Here is a relaxed NaTaPt2 crystal from Alexandria. Energies are from PBE.

Summary:
ΔH_f (0 K): -412 meV/atom

Lattice parameters (Å, degrees): 3.1388 3.1388 7.6486 90.00 90.00 90.00
Positions (direct):
Na 0.5000 0.5000 0.5000
Pt 0.0000 0.0000 0.7939
Pt 0.0000 0.0000 0.2061
Ta 0.5000 0.5000 0.0000


[10]
Here is a relaxed Pr4Y10Er crystal from Alexandria. Energies are from PBE.

Summary:
ΔH_f (0 K): 268 meV/atom

Lattice parameters (Å, degrees): 7.9481 9.0012 9.0012 78.76 63.80 63.80
Positions (direct):
Pr 0.2281 0.9998 0.5440
Pr 0.7721 0.4560 0.9998
Pr 0.2279 0.5440 0.0002
Pr 0.7719 0.0002 0.4560
Y 0.2500 0.5000 0.5000
Y 0.7091 0.2092 0.7908
Y 0.0817 0.2092 0.2092
Y 0.5001 0.7908 0.7908
Y 0.7091 0.7908 0.2092
Y 0.2909 0.7908 0.2092
Y 0.7500 0.5000 0.5000
Y 0.2909 0.2092 0.7908
Y 0.4999 0.2092 0.2092
Y 0.9183 0.7908 0.7908
Er 0.0000 0.0000 0.0000


[11]
Here is a relaxed Er8In3C crystal from Alexandria. Energies are from PBE.

Summary:
ΔH_f (0 K): 79 meV/atom

Lattice parameters (Å, degrees): 6.9527 6.9527 8.5553 113.98 113.98 90.00
Positions (direct):
Er 0.3494 0.3494 0.2319
Er 0.3494 0.8824 0.2319
Er 0.1176 0.6506 0.7681
Er 0.1176 0.1176 0.7681
Er 0.8824 0.8824 0.2319
Er 0.8824 0.3494 0.2319
Er 0.6506 0.1176 0.7681
Er 0.6506 0.6506 0.7681
In 0.7500 0.2500 0.5000
In 0.5000 0.5000 0.0000
In 0.2500 0.7500 0.5000
C 0.0000 0.0000 0.0000


[12]
Here is a relaxed Ac4SiSbI2 crystal from Alexandria. Energies are from PBE.

Summary:
formation energy from raw total energies: -1.027 eV/atom

Lattice parameters (Å, degrees): 4.6821 8.2631 8.3871 108.63 90.00 90.00
Positions (direct):
Ac 0.5000 0.2166 0.2039
Ac 0.5000 0.7834 0.7961
Ac 0.0000 0.2421 0.7883
Ac 0.0000 0.7579 0.2117
Si 0.0000 0.0000 0.0000
Sb 0.5000 0.5000 0.0000
I 0.5000 0.0000 0.5000
I 0.0000 0.5000 0.5000


[13]
Here is a relaxed NbPd9Pb2 crystal from Alexandria. Energies are from PBE.

Summary:
ΔH_f (0 K): -325 meV/atom

Lattice parameters (Å, degrees): 4.0491 4.0491 12.3063 90.00 90.00 90.00
Positions (direct):
Nb 0.0000 0.0000 0.0000
Pd 0.5000 0.5000 0.0000
Pd 0.5000 0.5000 0.3265
Pd 0.5000 0.5000 0.6735
Pd 0.5000 0.0000 0.1536
Pd 0.5000 0.0000 0.5000
Pd 0.5000 0.0000 0.8464
Pd 0.0000 0.5000 0.1536
Pd 0.0000 0.5000 0.5000
Pd 0.0000 0.5000 0.8464
Pb 0.0000 0.0000 0.3331
Pb 0.0000 0.0000 0.6669


[14]
Here is a relaxed Ta2NiOsI crystal from Alexandria. Energies are from PBE.

Summary:
formation energy from raw total energies: 1.379 eV/atom

Lattice parameters (Å, degrees): 4.6102 4.6799 4.6102 90.00 90.00 90.00
Positions (direct):
I 0.5000 0.5000 0.5000
Ni 0.0000 0.0000 0.0000
Os 0.0000 0.5000 0.0000
Ta 0.0000 0.0000 0.5000
Ta 0.5000 0.0000 0.0000


[15]
Here is a relaxed CaMg2InRh crystal from Alexandria. Energies are from PBE.

Summary:
ΔH_f (0 K): -277 meV/atom

Lattice parameters (Å, degrees): 4.9877 4.9877 5.1505 90.00 90.00 90.00
Positions (direct):
Ca 0.5000 0.5000 0.5000
Rh 0.0000 0.0000 0.0000
Mg 0.0000 0.5000 0.0000
Mg 0.5000 0.0000 0.0000
In 0.0000 0.0000 0.5000


[16]
Here is a relaxed Y5CuAg4 crystal from Alexandria. Energies are from PBE.

Summary:
ΔH_f (0 K): -312 meV/atom

Lattice parameters (Å, degrees): 3.5892 3.5892 18.3673 90.00 90.00 90.00
Positions (direct):
Y 0.5000 0.5000 0.0927
Y 0.5000 0.5000 0.2965
Y 0.5000 0.5000 0.5000
Y 0.5000 0.5000 0.7035
Y 0.5000 0.5000 0.9073
Cu 0.0000 0.0000 0.0000
Ag 0.0000 0.0000 0.1954
Ag 0.0000 0.0000 0.3984
Ag 0.0000 0.0000 0.6016
Ag 0.0000 0.0000 0.8046


[17]
Here is a relaxed AcDy2Rh crystal from Alexandria. Energies are from PBE.

Summary:
ΔH_f (0 K): -472 meV/atom
offset from the most stable computed form: 0 meV/atom

Lattice parameters (Å, degrees): 6.5607 7.3776 9.7870 90.00 90.00 90.00
Positions (direct):
Ac 0.6408 0.5386 0.2500
Ac 0.8592 0.0386 0.2500
Ac 0.3592 0.4614 0.7500
Ac 0.1408 0.9614 0.7500
Dy 0.1668 0.6741 0.0686
Dy 0.3332 0.1741 0.4314
Dy 0.8332 0.3259 0.5686
Dy 0.6668 0.8259 0.9314
Dy 0.8332 0.3259 0.9314
Dy 0.6668 0.8259 0.5686
Dy 0.1668 0.6741 0.4314
Dy 0.3332 0.1741 0.0686
Rh 0.0868 0.3821 0.2500
Rh 0.4132 0.8821 0.2500
Rh 0.9132 0.6179 0.7500
Rh 0.5868 0.1179 0.7500


[18]
Here is a relaxed Al3CuRh4 crystal from Alexandria. Energies are from PBE.

Summary:
ΔH_f (0 K): -850 meV/atom

Lattice parameters (Å, degrees): 2.9963 4.2403 8.4794 90.00 90.00 90.00
Positions (direct):
Rh 0.0000 0.0000 0.5000
Rh 0.0000 0.5000 0.7441
Rh 0.0000 0.0000 0.0000
Rh 0.0000 0.5000 0.2559
Al 0.5000 0.0000 0.2438
Al 0.5000 0.5000 0.5000
Al 0.5000 0.0000 0.7562
Cu 0.5000 0.5000 0.0000


[19]
Here is a relaxed KTl2AgIr crystal from Alexandria. Energies are from PBE.

Summary:
ΔH_f (0 K): 98 meV/atom

Lattice parameters (Å, degrees): 5.2574 5.2574 5.4705 90.00 90.00 90.00
Positions (direct):
Tl 0.0000 0.5000 0.0000
Tl 0.5000 0.0000 0.0000
Ir 0.0000 0.0000 0.0000
K 0.5000 0.5000 0.5000
Ag 0.0000 0.0000 0.5000


[20]
Here is a relaxed Li2TaP crystal from Alexandria. Energies are from PBE.

Summary:
ΔH_f (0 K): -115 meV/atom

Lattice parameters (Å, degrees): 4.8796 4.8796 5.4727 66.59 66.59 32.11
Positions (direct):
Li 0.0185 0.0185 0.9647
Li 0.8025 0.8025 0.7924
P 0.4704 0.4704 0.3773
Ta 0.2086 0.2086 0.3657